1.
TlHg2Pb: single point on PBEsol structure, meta-GGA SCAN.

Values from the calculation:
Spin magnetization = 0.0 μB per cell
Energy relative to the elements = 3.34 kJ/mol of atoms

Cell: 3.702 3.702 7.606 Å, 90.00 90.00 90.00°
Space group P4mm (No. 99)
Symmetry-distinct sites (fractional):
Tl: 0.000 0.000 0.000 (multiplicity 1)
Hg: 0.000 0.000 0.458 (multiplicity 1)
Hg: 0.500 0.500 0.244 (multiplicity 1)
Pb: 0.500 0.500 0.709 (multiplicity 1)


2.
TlHg2Pb: single point on PBEsol structure, meta-GGA SCAN.

Values from the calculation:
Spin magnetization = 0.0 μB per cell
Energy relative to the elements = 1.79 kJ/mol of atoms

Cell: 6.646 10.221 3.352 Å, 90.00 112.04 90.00°
Space group C2/m (No. 12)
Symmetry-distinct sites (fractional):
Tl: 0.000 0.000 0.000 (multiplicity 2)
Hg: 0.250 0.250 0.500 (multiplicity 4)
Pb: 0.000 0.500 0.000 (multiplicity 2)


3.
Tl2Hg2Pb: single point on PBEsol structure, meta-GGA SCAN.

Values from the calculation:
Spin magnetization = 0.0 μB per cell
Offset from the most stable computed form = 0 meV per atom
Energy relative to the elements = 5.94 kJ/mol of atoms

Cell: 8.534 8.534 3.732 Å, 90.00 90.00 90.00°
Space group P4/mbm (No. 127)
Symmetry-distinct sites (fractional):
Tl: 0.141 0.359 0.000 (multiplicity 4)
Hg: 0.159 0.659 0.500 (multiplicity 4)
Pb: 0.000 0.000 0.000 (multiplicity 2)


4.
TlHg2Pb: single point on PBEsol structure, meta-GGA SCAN.

Values from the calculation:
Spin magnetization = 0.0 μB per cell
Energy relative to the elements = 2.40 kJ/mol of atoms

Cell: 3.497 5.565 10.857 Å, 90.00 90.00 90.00°
Space group Cmmm (No. 65)
Symmetry-distinct sites (fractional):
Tl: 0.000 0.000 0.000 (multiplicity 2)
Hg: 0.000 0.500 0.249 (multiplicity 4)
Pb: 0.000 0.000 0.500 (multiplicity 2)


5.
TlHg2Pb: single point on PBEsol structure, meta-GGA SCAN.

Values from the calculation:
Spin magnetization = 0.0 μB per cell
Energy relative to the elements = 3.07 kJ/mol of atoms

Cell: 3.396 4.887 6.312 Å, 90.00 90.00 90.00°
Space group Pmm2 (No. 25)
Symmetry-distinct sites (fractional):
Tl: 0.000 0.000 0.000 (multiplicity 1)
Hg: 0.000 0.000 0.492 (multiplicity 1)
Hg: 0.500 0.500 0.240 (multiplicity 1)
Pb: 0.500 0.500 0.732 (multiplicity 1)


6.
TlHgPb: single point on PBEsol structure, meta-GGA SCAN.

Values from the calculation:
Spin magnetization = 0.0 μB per cell
Offset from the most stable computed form = 11 meV per atom
Energy relative to the elements = 2.33 kJ/mol of atoms

Cell: 3.656 5.587 15.928 Å, 90.00 90.00 90.00°
Space group Fmm2 (No. 42)
Symmetry-distinct sites (fractional):
Tl: 0.000 0.000 0.000 (multiplicity 4)
Hg: 0.000 0.000 0.341 (multiplicity 4)
Pb: 0.000 0.000 0.679 (multiplicity 4)


7.
Tl2Hg2Pb: single point on PBEsol structure, meta-GGA SCAN.

Values from the calculation:
Spin magnetization = 0.0 μB per cell
Offset from the most stable computed form = 64 meV per atom
Energy relative to the elements = 12.12 kJ/mol of atoms

Cell: 4.430 4.430 14.235 Å, 90.00 90.00 90.00°
Space group I4/mmm (No. 139)
Symmetry-distinct sites (fractional):
Tl: 0.000 0.500 0.250 (multiplicity 4)
Hg: 0.000 0.000 0.097 (multiplicity 4)
Pb: 0.000 0.000 0.500 (multiplicity 2)


8.
TlHg2Pb: single point on PBEsol structure, meta-GGA SCAN.

Values from the calculation:
Spin magnetization = 0.0 μB per cell
Energy relative to the elements = 3.68 kJ/mol of atoms

Cell: 5.787 3.331 11.024 Å, 90.00 100.61 90.00°
Space group C2/m (No. 12)
Symmetry-distinct sites (fractional):
Tl: 0.000 0.000 0.000 (multiplicity 2)
Hg: 0.249 0.500 0.247 (multiplicity 4)
Pb: 0.000 0.500 0.500 (multiplicity 2)


9.
TlHgPb: single point on PBEsol structure, meta-GGA SCAN.

Values from the calculation:
Spin magnetization = 0.0 μB per cell
Offset from the most stable computed form = 0 meV per atom
Energy relative to the elements = 1.24 kJ/mol of atoms

Cell: 5.2752 5.2752 3.3821 Å, 90.00 90.00 120.00°
Space group P3m1 (No. 156)
Symmetry-distinct sites (fractional):
Tl: 0.0000 0.0000 0.0000 (multiplicity 1)
Hg: 0.3333 0.6667 0.6994 (multiplicity 1)
Pb: 0.6667 0.3333 0.4637 (multiplicity 1)


10.
TlHg2Pb: single point on PBEsol structure, meta-GGA SCAN.

Values from the calculation:
Spin magnetization = 0.0 μB per cell
Energy relative to the elements = 4.19 kJ/mol of atoms

Cell: 4.465 4.465 10.401 Å, 90.00 90.00 90.00°
Space group I-4m2 (No. 119)
Symmetry-distinct sites (fractional):
Tl: 0.000 0.000 0.000 (multiplicity 2)
Hg: 0.000 0.000 0.500 (multiplicity 2)
Hg: 0.000 0.500 0.250 (multiplicity 2)
Pb: 0.000 0.500 0.750 (multiplicity 2)


11.
TlHg2Pb: single point on PBEsol structure, meta-GGA SCAN.

Values from the calculation:
Spin magnetization = 0.0 μB per cell
Energy relative to the elements = 1.57 kJ/mol of atoms

Cell: 5.302 5.302 3.699 Å, 90.00 90.00 90.00°
Space group P4/mmm (No. 123)
Symmetry-distinct sites (fractional):
Tl: 0.000 0.000 0.000 (multiplicity 1)
Hg: 0.000 0.500 0.500 (multiplicity 2)
Pb: 0.500 0.500 0.000 (multiplicity 1)


12.
TlHg2Pb: single point on PBEsol structure, meta-GGA SCAN.

Values from the calculation:
Spin magnetization = 0.0 μB per cell
Energy relative to the elements = 2.50 kJ/mol of atoms

Cell: 3.296 5.224 6.167 Å, 90.00 96.67 90.00°
Space group P2/m (No. 10)
Symmetry-distinct sites (fractional):
Tl: 0.000 0.000 0.000 (multiplicity 1)
Hg: 0.255 0.500 0.749 (multiplicity 2)
Pb: 0.500 0.000 0.500 (multiplicity 1)


13.
TlHg2Pb: single point on PBEsol structure, meta-GGA SCAN.

Values from the calculation:
Spin magnetization = 0.0 μB per cell
Energy relative to the elements = 6.53 kJ/mol of atoms

Cell: 7.454 7.454 7.454 Å, 90.00 90.00 90.00°
Space group F-43m (No. 216)
Symmetry-distinct sites (fractional):
Tl: 0.000 0.000 0.000 (multiplicity 4)
Hg: 0.000 0.000 0.500 (multiplicity 4)
Hg: 0.250 0.250 0.250 (multiplicity 4)
Pb: 0.250 0.250 0.750 (multiplicity 4)


14.
TlHg2Pb: single point on PBEsol structure, meta-GGA SCAN.

Values from the calculation:
Spin magnetization = 0.0 μB per cell
Energy relative to the elements = 3.77 kJ/mol of atoms

Cell: 3.842 5.331 10.184 Å, 90.00 90.00 90.00°
Space group Immm (No. 71)
Symmetry-distinct sites (fractional):
Tl: 0.000 0.000 0.000 (multiplicity 2)
Hg: 0.000 0.500 0.251 (multiplicity 4)
Pb: 0.000 0.000 0.500 (multiplicity 2)


15.
TlHg2Pb: single point on PBEsol structure, meta-GGA SCAN.

Values from the calculation:
Spin magnetization = 0.0 μB per cell
Energy relative to the elements = 2.63 kJ/mol of atoms

Cell: 3.433 5.383 5.721 Å, 90.00 90.00 90.00°
Space group Pmmm (No. 47)
Symmetry-distinct sites (fractional):
Tl: 0.000 0.000 0.000 (multiplicity 1)
Hg: 0.000 0.500 0.500 (multiplicity 1)
Hg: 0.500 0.500 0.000 (multiplicity 1)
Pb: 0.500 0.000 0.500 (multiplicity 1)


16.
TlHg2Pb: single point on PBEsol structure, meta-GGA SCAN.

Values from the calculation:
Spin magnetization = 0.0 μB per cell
Energy relative to the elements = 2.10 kJ/mol of atoms

Cell: 3.583 5.318 10.926 Å, 90.00 90.00 90.00°
Space group Imm2 (No. 44)
Symmetry-distinct sites (fractional):
Tl: 0.000 0.000 0.000 (multiplicity 2)
Hg: 0.000 0.000 0.480 (multiplicity 2)
Hg: 0.000 0.500 0.750 (multiplicity 2)
Pb: 0.000 0.500 0.231 (multiplicity 2)


17.
TlHg2Pb: single point on PBEsol structure, meta-GGA SCAN.

Values from the calculation:
Spin magnetization = 0.0 μB per cell
Energy relative to the elements = 1.69 kJ/mol of atoms

Cell: 3.387 5.177 6.202 Å, 90.00 105.90 90.00°
Space group Pm (No. 6)
Symmetry-distinct sites (fractional):
Tl: 0.000 0.000 0.000 (multiplicity 1)
Hg: 0.596 0.500 0.178 (multiplicity 1)
Hg: 0.736 0.000 0.482 (multiplicity 1)
Pb: 0.322 0.500 0.656 (multiplicity 1)


18.
TlHgPb: single point on PBEsol structure, meta-GGA SCAN.

Values from the calculation:
Spin magnetization = 0.0 μB per cell
Offset from the most stable computed form = 16 meV per atom
Energy relative to the elements = 2.81 kJ/mol of atoms

Cell: 5.103 4.587 7.298 Å, 90.00 109.95 90.00°
Space group Cm (No. 8)
Symmetry-distinct sites (fractional):
Tl: 0.000 0.000 0.000 (multiplicity 2)
Hg: 0.156 0.500 0.313 (multiplicity 2)
Pb: 0.318 0.000 0.633 (multiplicity 2)


19.
TlHg2Pb: single point on PBEsol structure, meta-GGA SCAN.

Values from the calculation:
Spin magnetization = 0.0 μB per cell
Energy relative to the elements = 2.48 kJ/mol of atoms

Cell: 3.4104 3.4104 31.1810 Å, 90.00 90.00 120.00°
Space group R3m (No. 160, hexagonal axes)
Symmetry-distinct sites (fractional):
Tl: 0.0000 0.0000 0.0000 (multiplicity 3)
Hg: 0.0000 0.0000 0.4910 (multiplicity 3)
Hg: 0.0000 0.0000 0.7493 (multiplicity 3)
Pb: 0.0000 0.0000 0.2416 (multiplicity 3)


20.
TlHg2Pb: single point on PBEsol structure, meta-GGA SCAN.

Values from the calculation:
Spin magnetization = 0.0 μB per cell
Energy relative to the elements = 2.89 kJ/mol of atoms

Cell: 3.426 5.665 10.883 Å, 90.00 90.00 90.00°
Space group Cmm2 (No. 35)
Symmetry-distinct sites (fractional):
Tl: 0.000 0.000 0.000 (multiplicity 2)
Hg: 0.000 0.000 0.522 (multiplicity 2)
Hg: 0.000 0.500 0.752 (multiplicity 2)
Pb: 0.000 0.500 0.273 (multiplicity 2)